Record 1
CsInPb2I8 | GGA-PBE | optimized geometry

The crystal system is triclinic. The total energy is -2.63 eV per atom.

The space group is P-1 (No. 2) and the conventional cell measures 7.532, 8.148 and 10.621 Å, with angles of 73.61, 79.09 and 76.16 degrees. The distinct sites, in fractional coordinates, are Cs at (0.000, 0.000, 0.000), In at (0.000, 0.000, 0.500), Pb at (0.444, 0.441, 0.237), I at (0.141, 0.707, 0.739), I at (0.259, 0.208, 0.510), I at (0.265, 0.831, 0.312) and I at (0.422, 0.261, 0.021).


Record 2
NdTm2Ga2 | GGA-PBE | optimized geometry

The crystal system is monoclinic. The calculation puts the energy relative to the elements at -0.3630 eV/atom. The total energy is -4.32 eV per atom.

The space group is P2_1/m (No. 11) and the conventional cell measures 5.333, 4.301 and 11.639 Å, with angles of 90.00, 93.76 and 90.00 degrees. The distinct sites, in fractional coordinates, are Nd at (0.170, 0.250, 0.238), Tm at (0.244, 0.750, 0.478), Tm at (0.358, 0.250, 0.889), Ga at (0.139, 0.750, 0.024) and Ga at (0.271, 0.250, 0.646).


Record 3
Dy6Mn2In | GGA-PBE | optimized geometry

The crystal system is orthorhombic. The calculation puts the energy relative to the elements at -0.0809 eV/atom. The total energy is -5.49 eV per atom.

The space group is Immm (No. 71) and the conventional cell measures 9.542, 9.685 and 9.993 Å, with angles of 90.00, 90.00 and 90.00 degrees. The distinct sites, in fractional coordinates, are Dy at (0.000, 0.218, 0.231), Dy at (0.208, 0.500, 0.189), Dy at (0.214, 0.309, 0.500), Mn at (0.000, 0.387, 0.000), Mn at (0.000, 0.500, 0.395), In at (0.000, 0.000, 0.000) and In at (0.000, 0.000, 0.500).


Record 4
MgZnGa5 | GGA-PBE | optimized geometry

The crystal system is tetragonal. The calculation puts the energy relative to the elements at -0.0139 eV/atom. The total energy is -2.59 eV per atom.

The space group is P4/mmm (No. 123) and the conventional cell measures 4.534, 4.534 and 6.531 Å, with angles of 90.00, 90.00 and 90.00 degrees. The distinct sites, in fractional coordinates, are Mg at (0.000, 0.000, 0.000), Zn at (0.000, 0.000, 0.500), Ga at (0.000, 0.500, 0.279) and Ga at (0.500, 0.500, 0.000).


Record 5
Cr3BiN | GGA-PBE | optimized geometry

The crystal system is cubic. The energy above the most stable polymorph in this dataset comes out at 0.000 eV per atom. The total energy is -8.07 eV per atom.

The space group is Pm-3m (No. 221) and the conventional cell measures 4.002, 4.002 and 4.002 Å, with angles of 90.00, 90.00 and 90.00 degrees. The distinct sites, in fractional coordinates, are Cr at (0.000, 0.000, 0.500), Bi at (0.500, 0.500, 0.500) and N at (0.000, 0.000, 0.000).


Record 6
LiAcHoTm | GGA-PBE | optimized geometry

The crystal system is cubic. The calculation puts the energy relative to the elements at 0.1713 eV/atom. The total energy is -3.60 eV per atom.

The space group is F-43m (No. 216) and the conventional cell measures 8.004, 8.004 and 8.004 Å, with angles of 90.00, 90.00 and 90.00 degrees. The distinct sites, in fractional coordinates, are Li at (0.000, 0.000, 0.000), Ac at (0.250, 0.250, 0.750), Ho at (0.250, 0.250, 0.250) and Tm at (0.000, 0.000, 0.500).


Number 1: V 50.164 Å³/atom. Number 2: V 26.636 Å³/atom. Number 3: V 25.653 Å³/atom. Number 4: V 19.178 Å³/atom. Number 5: V 12.821 Å³/atom. Number 6: V 32.043 Å³/atom.